CaTaGe2Pd PBE-GGA relaxed; energy = -27.806 eV/cell; V = 24.89 Å³/atom
1.0
4.9878 0.0000 0.0000
0.0000 4.9878 0.0000
0.0000 0.0000 5.0015
Ca Ta Ge Pd
1 1 2 1
direct
0.0000 0.0000 0.0000
0.5000 0.5000 0.5000
0.0000 0.5000 0.5000
0.5000 0.0000 0.5000
0.5000 0.5000 0.0000

***

Ti2InP PBE-GGA relaxed; distance to the lowest polymorph of the same formula = 566 meV per atom; energy = -97.457 eV/cell; V = 16.95 Å³/atom
1.0
6.4730 0.0000 0.0000
0.0000 6.4730 0.0000
0.0000 0.0000 6.4730
Ti In P
8 4 4
direct
0.2500 0.2500 0.2500
0.2500 0.2500 0.7500
0.2500 0.7500 0.2500
0.2500 0.7500 0.7500
0.7500 0.2500 0.2500
0.7500 0.2500 0.7500
0.7500 0.7500 0.2500
0.7500 0.7500 0.7500
0.0000 0.0000 0.0000
0.0000 0.5000 0.5000
0.5000 0.0000 0.5000
0.5000 0.5000 0.0000
0.0000 0.0000 0.5000
0.0000 0.5000 0.0000
0.5000 0.0000 0.0000
0.5000 0.5000 0.5000

***

LiScAu2 PBE-GGA relaxed; distance to the lowest polymorph of the same formula = 187 meV per atom; energy = -50.431 eV/cell; V = 19.93 Å³/atom
1.0
3.7378 0.0000 0.0000
-1.8689 3.2370 0.0000
0.0000 0.0000 19.7714
Li Sc Au
3 3 6
direct
0.0000 0.0000 0.0000
0.3333 0.6667 0.6667
0.6667 0.3333 0.3333
0.0000 0.0000 0.8319
0.3333 0.6667 0.4986
0.6667 0.3333 0.1652
0.0000 0.0000 0.2560
0.0000 0.0000 0.4082
0.3333 0.6667 0.0749
0.3333 0.6667 0.9227
0.6667 0.3333 0.5893
0.6667 0.3333 0.7416

***

Rb3Nd2ScS6 PBE-GGA relaxed; energy = -64.777 eV/cell; V = 28.15 Å³/atom; uncorrected formation energy = -1770 meV per atom
1.0
3.5611 -6.1676 0.0000
3.5611 6.1676 0.0000
-2.3804 0.0000 7.6908
Rb Nd Sc S
3 2 1 6
direct
0.0000 0.0000 0.0000
0.3314 0.6686 0.0000
0.6686 0.3314 0.0000
0.1665 0.8335 0.5000
0.8335 0.1665 0.5000
0.5000 0.5000 0.5000
0.1226 0.4360 0.3082
0.2509 0.2509 0.6924
0.4360 0.1226 0.3082
0.5640 0.8774 0.6918
0.7491 0.7491 0.3076
0.8774 0.5640 0.6918

***

Zr2TeIr PBE-GGA relaxed; energy = -122.427 eV/cell; V = 22.24 Å³/atom; uncorrected formation energy = -377 meV per atom
1.0
7.6171 0.0000 0.0000
0.0000 7.6171 0.0000
0.0000 0.0000 6.1316
Zr Te Ir
8 4 4
direct
0.2177 0.2500 0.1250
0.2500 0.7177 0.3750
0.2500 0.7823 0.8750
0.2823 0.2500 0.6250
0.7177 0.7500 0.6250
0.7500 0.2177 0.8750
0.7500 0.2823 0.3750
0.7823 0.7500 0.1250
0.0000 0.0000 0.5000
0.0000 0.5000 0.7500
0.5000 0.0000 0.2500
0.5000 0.5000 0.0000
0.0000 0.0000 0.0000
0.0000 0.5000 0.2500
0.5000 0.0000 0.7500
0.5000 0.5000 0.5000

***

ThPS PBE-GGA relaxed; energy = -43.228 eV/cell; V = 21.49 Å³/atom; uncorrected formation energy = -1552 meV per atom
1.0
3.9580 0.0000 0.0000
0.0000 3.9580 0.0000
0.0000 0.0000 8.2320
Th P S
2 2 2
direct
0.2500 0.2500 0.2324
0.7500 0.7500 0.7676
0.2500 0.7500 0.5000
0.7500 0.2500 0.5000
0.2500 0.2500 0.8673
0.7500 0.7500 0.1327

***

RbCrAs PBE-GGA relaxed; energy = -31.841 eV/cell; V = 33.13 Å³/atom
1.0
4.1913 0.0000 0.0000
0.0000 4.1913 0.0000
0.0000 0.0000 11.3165
Rb Cr As
2 2 2
direct
0.2500 0.2500 0.2094
0.7500 0.7500 0.7906
0.2500 0.7500 0.5000
0.7500 0.2500 0.5000
0.2500 0.2500 0.6146
0.7500 0.7500 0.3854

***

K2AlGa7 PBE-GGA relaxed; energy = -28.498 eV/cell; V = 22.42 Å³/atom
1.0
4.4600 0.0000 0.0000
0.0000 4.4600 0.0000
0.0000 0.0000 11.2724
K Al Ga
2 1 7
direct
0.0000 0.5000 0.2489
0.5000 0.0000 0.7511
0.0000 0.0000 0.5000
0.0000 0.0000 0.0000
0.0000 0.5000 0.6342
0.0000 0.5000 0.8654
0.5000 0.0000 0.1346
0.5000 0.0000 0.3658
0.5000 0.5000 0.0000
0.5000 0.5000 0.5000

***

ZrNi4 PBE-GGA relaxed; distance to the lowest polymorph of the same formula = 0 meV per atom; energy = -65.971 eV/cell; V = 12.90 Å³/atom
1.0
5.8852 0.0000 0.0000
0.0000 5.8852 0.0000
0.0000 0.0000 3.7239
Zr Ni
2 8
direct
0.0000 0.0000 0.0000
0.5000 0.5000 0.5000
0.0863 0.3119 0.5000
0.1881 0.5863 0.0000
0.3119 0.9137 0.5000
0.4137 0.1881 0.0000
0.5863 0.8119 0.0000
0.6881 0.0863 0.5000
0.8119 0.4137 0.0000
0.9137 0.6881 0.5000

***

Ba3LiCu PBE-GGA relaxed; distance to the lowest polymorph of the same formula = 0 meV per atom; energy = -23.432 eV/cell; V = 44.38 Å³/atom
1.0
4.5273 0.0000 0.0000
2.2611 9.7330 0.0000
0.0007 0.1590 10.0721
Ba Li Cu
6 2 2
direct
0.0000 0.0000 0.0000
0.0917 0.8166 0.6056
0.2972 0.4063 0.0088
0.4378 0.1247 0.3550
0.6559 0.6890 0.2497
0.7956 0.4092 0.5941
0.4473 0.1048 0.7293
0.6440 0.7122 0.8758
0.2750 0.4514 0.3393
0.8204 0.3609 0.2635